1.
# KNiIBr2

Crystalline KNiIBr2 at its relaxed geometry (GGA-PBE, Alexandria).

Cell: 5.105 5.105 5.431 Å, 90.00 90.00 90.00°
Space group P4/mmm (No. 123)
Unique sites:
K  0.000  0.000  0.000 [1 per cell]
Ni  0.500  0.500  0.500 [1 per cell]
I  0.500  0.500  0.000 [1 per cell]
Br  0.000  0.500  0.500 [2 per cell]

Results
Crystal system   tetragonal
Formation energy from raw total energies   -0.71 eV/atom
Total energy   -3.062 eV per atom

2.
# KNiI2Br

Crystalline KNiI2Br at its relaxed geometry (GGA-PBE, Alexandria).

Cell: 5.483 5.483 5.084 Å, 90.00 90.00 90.00°
Space group P4/mmm (No. 123)
Unique sites:
K  0.000  0.000  0.000 [1 per cell]
Ni  0.500  0.500  0.500 [1 per cell]
I  0.000  0.500  0.500 [2 per cell]
Br  0.500  0.500  0.000 [1 per cell]

Results
Crystal system   tetragonal
Formation energy from raw total energies   -0.62 eV/atom
Total energy   -2.948 eV per atom

3.
# K2NiI2Br4

Crystalline K2NiI2Br4 at its relaxed geometry (GGA-PBE, Alexandria).

Cell: 8.232 8.232 8.876 Å, 90.00 90.00 90.00°
Space group I4/mmm (No. 139)
Unique sites:
K  0.000  0.500  0.250 [4 per cell]
Ni  0.000  0.000  0.000 [2 per cell]
I  0.000  0.000  0.336 [4 per cell]
Br  0.202  0.202  0.000 [8 per cell]

Results
Crystal system   tetragonal
Formation energy from raw total energies   -0.83 eV/atom
Total energy   -2.809 eV per atom